# Li3MgNi | the Alexandria database | PBE-GGA | relaxed
data_Li3MgNi
_cell_length_a 4.772
_cell_length_b 4.772
_cell_length_c 4.772
_cell_angle_alpha 90.00
_cell_angle_beta 90.00
_cell_angle_gamma 90.00
_symmetry_space_group_name_H-M 'P m -3 m'
_symmetry_Int_Tables_number 221
_symmetry_space_group_name_Hall '-P 4 2 3'
loop_
_atom_site_label
_atom_site_type_symbol
_atom_site_fract_x
_atom_site_fract_y
_atom_site_fract_z
_atom_site_occupancy
Li1 Li 0.000 0.000 0.500 1
Mg1 Mg 0.000 0.000 0.000 1
Ni1 Ni 0.500 0.500 0.500 1
# Energy (eV/atom): -1.7364
# M_tot (μB/f.u.): 0.000
# Formation enthalpy at 0 K (eV per atom): 0.887
# Theoretical density (g/cm³): 1.6
# Energy relative to the lowest polymorph listed for this composition (meV per atom): 856